VASP calculation (PBE with a Hubbard U) on a relaxed structure of Li3FeP2O8.

Summary:
For the volume, the calculation gives 10.10 Å³ per atom. The calculated density comes out at 3.13 Mg/m³. The total energy comes out at -92.419 eV/f.u. For the energy above the lowest structure with this stoichiometry, the calculation gives 19 meV per atom.

Structure (POSCAR):
```
Li3FeP2O8
1.0
-4.0466 -4.2977 6.4998
0.3625 -4.2004 -2.5516
6.1049 -4.9525 0.5262
Li Fe P O
6 2 4 16
Cartesian
0.7921 -8.4623 5.1242
1.6287 -4.9882 -0.6498
-1.3523 -5.0216 3.4025
-2.0233 -2.1488 3.2499
3.7731 -8.4289 1.0718
3.0525 -2.4762 0.2631
0.1812 -2.1002 -1.2758
1.2104 -6.7252 2.2372
0.5006 -3.5654 1.7291
1.9202 -9.8851 2.7453
-1.6848 -7.9956 3.3696
4.1056 -5.4549 1.1048
1.7712 -8.3960 3.2111
3.2189 -6.0162 2.2719
-0.7981 -7.4343 2.2025
-0.9142 -9.0205 4.1875
-0.9631 -3.2767 2.0245
-3.3072 -4.4508 5.2682
0.6496 -5.0545 1.2633
1.7376 -7.5195 0.4496
3.3350 -4.4300 0.2868
1.0403 -2.6119 0.6052
1.3805 -10.8386 3.8692
3.3839 -10.1738 2.4499
0.6832 -5.9310 4.0248
-2.1245 -6.8153 4.3024
5.7280 -8.9997 -0.7938
4.5452 -6.6352 0.1720
```